(1)
# DyNi2

A relaxed DyNi2 crystal (GGA-PBE, OQMD via LeMat-Bulk).

Properties
The value obtained for the total energy is -4.91 eV/atom. For the volume, the calculation gives 19.03 Å³ per atom.

Cell: 4.322 4.322 4.322 Å, 60.00 60.00 60.00°
Fractional coordinates of all 3 atoms:
1 Ni 0.750 0.750 0.750
2 Dy 0.000 0.000 0.000
3 Ni 0.250 0.250 0.250

=====

(2)
# Rb2UPd3S6

A relaxed Rb2UPd3S6 crystal (GGA-PBE, OQMD via LeMat-Bulk).

Properties
The value obtained for the total energy is -5.41 eV/atom. For the volume, the calculation gives 25.34 Å³ per atom.

Cell: 11.206 9.774 8.825 Å, 73.90 56.93 49.17°
Fractional coordinates of all 24 atoms:
1 Rb 0.750 0.750 0.750
2 Rb 0.704 0.296 0.704
3 S 0.822 0.974 0.399
4 Rb 0.250 0.250 0.250
5 S 0.974 0.822 0.805
6 Pd 0.173 0.827 0.827
7 S 0.813 0.594 0.406
8 S 0.406 0.187 0.813
9 Pd 0.827 0.173 0.173
10 S 0.399 0.805 0.822
11 S 0.805 0.399 0.974
12 S 0.594 0.813 0.187
13 Pd 0.496 0.822 0.504
14 S 0.187 0.406 0.594
15 Pd 0.178 0.504 0.822
16 S 0.178 0.026 0.601
17 S 0.601 0.195 0.178
18 S 0.195 0.601 0.026
19 S 0.026 0.178 0.195
20 Pd 0.504 0.178 0.496
21 Pd 0.822 0.496 0.178
22 Rb 0.296 0.704 0.296
23 U 0.168 0.168 0.832
24 U 0.832 0.832 0.168

=====

(3)
# TbNbCd

A relaxed TbNbCd crystal (GGA-PBE, OQMD via LeMat-Bulk).

Properties
The value obtained for the total energy is -4.36 eV/atom. For the volume, the calculation gives 27.13 Å³ per atom.

Cell: 4.865 4.865 4.865 Å, 60.00 60.00 60.00°
Fractional coordinates of all 3 atoms:
1 Nb 0.750 0.750 0.750
2 Tb 0.500 0.500 0.500
3 Cd 0.000 0.000 0.000

=====

(4)
# NbZn2O4

A relaxed NbZn2O4 crystal (GGA-PBE, OQMD via LeMat-Bulk).

Properties
The value obtained for the total energy is -6.28 eV/atom. For the volume, the calculation gives 11.80 Å³ per atom.

Cell: 6.158 6.158 6.158 Å, 120.00 90.01 120.00°
Fractional coordinates of all 14 atoms:
1 O 0.620 0.241 0.379
2 Zn 0.375 0.750 0.625
3 Nb 0.750 0.500 0.250
4 Nb 0.000 0.000 0.000
5 Zn 0.375 0.250 0.625
6 O 0.621 0.759 0.380
7 O 0.129 0.259 0.388
8 O 0.130 0.259 0.871
9 O 0.138 0.759 0.379
10 O 0.621 0.241 0.862
11 Zn 0.375 0.750 0.125
12 Zn 0.875 0.250 0.625
13 O 0.129 0.741 0.870
14 O 0.612 0.741 0.871

=====

(5)
# LaNiSnAsPd

A relaxed LaNiSnAsPd crystal (GGA-PBE, OQMD via LeMat-Bulk).

Properties
The value obtained for the polymorph energy (0 for the lowest one) is 0.106 eV per atom. The value obtained for the total energy is -5.60 eV/atom. For the volume, the calculation gives 20.68 Å³ per atom.

Cell: 4.562 4.562 9.932 Å, 90.00 90.00 90.00°
Fractional coordinates of all 10 atoms:
1 As 0.500 0.500 0.500
2 Pd 0.000 0.500 0.611
3 Ni 0.500 0.500 0.000
4 Pd 0.500 0.000 0.389
5 As 0.000 0.000 0.500
6 Sn 0.000 0.500 0.881
7 La 0.500 0.000 0.743
8 La 0.000 0.500 0.257
9 Ni 0.000 0.000 0.000
10 Sn 0.500 0.000 0.119

=====

(6)
# SmTaBe

A relaxed SmTaBe crystal (GGA-PBE, OQMD via LeMat-Bulk).

Properties
The value obtained for the polymorph energy (0 for the lowest one) is 1.022 eV per atom. The value obtained for the total energy is -5.04 eV/atom. For the volume, the calculation gives 24.05 Å³ per atom.

Cell: 4.673 4.673 4.673 Å, 60.00 60.00 60.00°
Fractional coordinates of all 3 atoms:
1 Sm 0.000 0.000 0.000
2 Be 0.250 0.250 0.250
3 Ta 0.750 0.750 0.750

=====

(7)
# Y4Si2Tc

A relaxed Y4Si2Tc crystal (GGA-PBE, OQMD via LeMat-Bulk).

Properties
The value obtained for the total energy is -6.48 eV/atom. For the volume, the calculation gives 25.55 Å³ per atom.

Cell: 3.445 3.445 17.393 Å, 90.00 90.00 120.00°
Fractional coordinates of all 7 atoms:
1 Y 0.333 0.667 0.914
2 Tc 0.000 0.000 0.500
3 Y 0.333 0.667 0.384
4 Si 0.333 0.667 0.216
5 Y 0.667 0.333 0.086
6 Si 0.667 0.333 0.784
7 Y 0.667 0.333 0.616

=====

(8)
# AcPrHo

A relaxed AcPrHo crystal (GGA-PBE, OQMD via LeMat-Bulk).

Properties
The value obtained for the polymorph energy (0 for the lowest one) is 0.000 eV per atom. The value obtained for the total energy is -3.85 eV/atom. For the volume, the calculation gives 43.73 Å³ per atom.

Cell: 5.703 5.703 5.703 Å, 60.00 60.00 60.00°
Fractional coordinates of all 3 atoms:
1 Ac 0.750 0.750 0.750
2 Pr 0.250 0.250 0.250
3 Ho 0.000 0.000 0.000